An optimized crystal structure of NaTeP2. Source: Alexandria, functional GGA-PBE.

Values from the calculation:
- Formation energy without anion corrections: 0.35 eV per atom
- Total magnetization: 0.000 μB per formula unit
- VASP energy: -13.871 eV/f.u.
- Symmetry: I-42d, No. 122

```
NaTeP2
1.0
-3.5183 3.5183 4.6668
3.5183 -3.5183 4.6668
3.5183 3.5183 -4.6668
Na Te P
2 2 4
direct
0.0000 0.0000 0.0000 Na
0.7500 0.2500 0.5000 Na
0.2500 0.7500 0.5000 Te
0.5000 0.5000 0.0000 Te
0.1646 0.1250 0.5396 P
0.3750 0.8354 0.9604 P
0.5854 0.6250 0.4604 P
0.8750 0.4146 0.0396 P
```